5
Lattice="3.848 0.000 0.000 0.000 3.848 0.000 0.000 0.000 3.649" Properties=species:S:1:pos:R:3 comment="ZrVN2O (PBE with a Hubbard U, relaxed)" sg="No. 123" m_tot_mub_per_fu=0.5 dft_energy_ev_per_cell=-41.3 pbc="T T T"
Zr 0.000 0.000 0.000
V 1.924 1.924 1.825
N 0.000 1.924 1.825
N 1.924 0.000 1.825
O 1.924 1.924 0.000